[1]
Material: InSe2Br
Method: DFT, GGA-PBE
State: optimized geometry

abc: 3.548 5.888 5.896
angles: 90.00 90.00 90.00
Atoms (fractional coordinates):
In: 0.000 0.000 0.000
Se: 0.500 0.191 0.500
Se: 0.500 0.809 0.500
Br: 0.000 0.500 0.000

Values from the calculation:
The space-group type is Pmmm. The energy relative to the lowest polymorph listed for this composition is 1.762 eV/f.u. Its formation energy without anion corrections is 0.0206 eV/atom.

***

[2]
Material: InSeBr2
Method: DFT, GGA-PBE
State: optimized geometry

abc: 7.709 7.709 7.709
angles: 90.00 90.00 90.00
Atoms (fractional coordinates):
In: 0.000 0.000 0.000
In: 0.000 0.500 0.500
In: 0.500 0.000 0.500
In: 0.500 0.500 0.000
Se: 0.000 0.000 0.500
Se: 0.000 0.500 0.000
Se: 0.500 0.000 0.000
Se: 0.500 0.500 0.500
Br: 0.250 0.250 0.250
Br: 0.250 0.250 0.750
Br: 0.250 0.750 0.250
Br: 0.250 0.750 0.750
Br: 0.750 0.250 0.250
Br: 0.750 0.250 0.750
Br: 0.750 0.750 0.250
Br: 0.750 0.750 0.750

Values from the calculation:
The space-group type is Fm-3m. The energy relative to the lowest polymorph listed for this composition is 1.878 eV/f.u. Its formation energy without anion corrections is 0.1418 eV/atom.

***

[3]
Material: InSeBr
Method: DFT, GGA-PBE
State: optimized geometry

abc: 6.822 3.994 7.070
angles: 90.00 91.16 90.00
Atoms (fractional coordinates):
In: 0.000 0.000 0.000
In: 0.500 0.500 0.000
Se: 0.187 0.500 0.205
Se: 0.813 0.500 0.795
Br: 0.328 0.000 0.748
Br: 0.672 0.000 0.252

Values from the calculation:
The space-group type is P2/m. Its formation energy without anion corrections is -0.6517 eV/atom.